(1)
This record from Alexandria via LeMat-Bulk describes crystalline LiCa3Zr at its relaxed geometry. The functional is PBE.

Output
ΔE to the lowest computed polymorph in meV per atom: 0
Calculated formation energy in eV/atom: 0.67
ρ in g cm⁻³: 2.08
Space group: Pm-3m (221)

Cell lengths 5.586, 5.586, 5.586 Å; angles 90.00, 90.00, 90.00 degrees
Fractional coordinates of all 5 atoms:
1 Ca 0.000 0.500 0.000
2 Ca 0.000 0.000 0.500
3 Ca 0.500 0.000 0.000
4 Zr 0.500 0.500 0.500
5 Li 0.000 0.000 0.000

(2)
This record from Alexandria via LeMat-Bulk describes crystalline ErGaPb at its relaxed geometry. The functional is PBE.

Output
ΔE to the lowest computed polymorph in meV per atom: 54
Calculated formation energy in eV/atom: -0.31
ρ in g cm⁻³: 9.65
Space group: P3m1 (156)

Cell lengths 4.458, 4.450, 4.450 Å; angles 120.00, 90.00, 90.00 degrees
Fractional coordinates of all 3 atoms:
1 Pb 0.719 0.667 0.333
2 Ga 0.988 0.000 0.000
3 Er 0.293 0.333 0.667

(3)
This record from Alexandria via LeMat-Bulk describes crystalline FeNi2Os at its relaxed geometry. The functional is PBE.

Output
ΔE to the lowest computed polymorph in meV per atom: 89
Calculated formation energy in eV/atom: 0.16
ρ in g cm⁻³: 12.64
Space group: P4/mmm (123)

Cell lengths 3.586, 3.588, 3.711 Å; angles 90.00, 90.00, 90.00 degrees
Fractional coordinates of all 4 atoms:
1 Fe 0.000 0.500 0.500
2 Ni 0.000 0.000 0.000
3 Ni 0.500 0.500 0.000
4 Os 0.500 0.000 0.500

(4)
This record from Alexandria via LeMat-Bulk describes crystalline Sn2Bi2Pb5 at its relaxed geometry. The functional is PBE.

Output
ΔE to the lowest computed polymorph in meV per atom: 0
Calculated formation energy in eV/atom: 0.08
ρ in g cm⁻³: 9.50
Space group: C2/m (12)

Cell lengths 5.752, 6.739, 9.239 Å; angles 68.16, 71.86, 64.74 degrees
Fractional coordinates of all 9 atoms:
1 Sn 0.208 0.998 0.586
2 Sn 0.792 0.002 0.414
3 Bi 0.301 0.533 0.866
4 Bi 0.699 0.467 0.134
5 Pb 0.410 0.976 0.205
6 Pb 0.590 0.024 0.795
7 Pb 0.086 0.522 0.306
8 Pb 0.914 0.478 0.694
9 Pb 0.000 0.000 0.000

(5)
This record from Alexandria via LeMat-Bulk describes crystalline PrMgSi2Ir2 at its relaxed geometry. The functional is PBE.

Output
ρ in g cm⁻³: 9.23
Space group: P-3m1 (164)
Raw formation energy in eV/atom: -0.76

Cell lengths 4.253, 4.253, 6.956 Å; angles 90.00, 90.00, 120.00 degrees
Fractional coordinates of all 6 atoms:
1 Pr 0.000 0.000 0.000
2 Mg 0.000 0.000 0.500
3 Si 0.667 0.333 0.308
4 Si 0.333 0.667 0.692
5 Ir 0.667 0.333 0.689
6 Ir 0.333 0.667 0.311

(6)
This record from Alexandria via LeMat-Bulk describes crystalline HoBeGa at its relaxed geometry. The functional is PBE.

Output
ΔE to the lowest computed polymorph in meV per atom: 0
Calculated formation energy in eV/atom: -0.42
ρ in g cm⁻³: 7.45
Space group: P6_3/mmc (194)

Cell lengths 4.154, 4.154, 7.267 Å; angles 90.00, 90.00, 119.99 degrees
Fractional coordinates of all 6 atoms:
1 Ho 0.000 0.500 0.500
2 Ho 0.000 0.500 0.000
3 Be 0.667 0.833 0.750
4 Be 0.333 0.167 0.250
5 Ga 0.333 0.167 0.750
6 Ga 0.667 0.833 0.250

(7)
This record from Alexandria via LeMat-Bulk describes crystalline LaPm2Sm3 at its relaxed geometry. The functional is PBE.

Output
ΔE to the lowest computed polymorph in meV per atom: 286
Calculated formation energy in eV/atom: 0.30
ρ in g cm⁻³: 6.93
Space group: Immm (71)

Cell lengths 3.515, 6.051, 10.518 Å; angles 106.72, 99.62, 90.00 degrees
Fractional coordinates of all 6 atoms:
1 La 0.000 0.000 0.000
2 Pm 0.640 0.640 0.279
3 Pm 0.360 0.360 0.721
4 Sm 0.000 0.500 0.000
5 Sm 0.809 0.809 0.618
6 Sm 0.191 0.191 0.382

(8)
This record from Alexandria via LeMat-Bulk describes crystalline NaErTlPd at its relaxed geometry. The functional is PBE.

Output
Calculated formation energy in eV/atom: -0.27
ρ in g cm⁻³: 9.14
Space group: F-43m (216)

Cell lengths 5.049, 5.049, 5.049 Å; angles 60.00, 60.00, 60.00 degrees
Fractional coordinates of all 4 atoms:
1 Na 0.000 0.000 0.000
2 Tl 0.250 0.250 0.250
3 Pd 0.750 0.750 0.750
4 Er 0.500 0.500 0.500

(9)
This record from Alexandria via LeMat-Bulk describes crystalline NaRe2Cl at its relaxed geometry. The functional is PBE.

Output
ΔE to the lowest computed polymorph in meV per atom: 1462
ρ in g cm⁻³: 11.48
Space group: Fm-3m (225)
Raw formation energy in eV/atom: 2.11

Cell lengths 4.450, 4.450, 4.450 Å; angles 60.00, 60.00, 60.00 degrees
Fractional coordinates of all 4 atoms:
1 Re 0.250 0.250 0.250
2 Re 0.750 0.750 0.750
3 Na 0.000 0.000 0.000
4 Cl 0.500 0.500 0.500

(10)
This record from Alexandria via LeMat-Bulk describes crystalline KCd4P at its relaxed geometry. The functional is PBE.

Output
Calculated formation energy in eV/atom: 0.21
ρ in g cm⁻³: 5.64
Space group: F-43m (216)

Cell lengths 6.002, 6.002, 6.002 Å; angles 60.00, 60.00, 60.00 degrees
Fractional coordinates of all 6 atoms:
1 K 0.750 0.750 0.750
2 Cd 0.374 0.878 0.374
3 Cd 0.878 0.374 0.374
4 Cd 0.374 0.374 0.878
5 Cd 0.374 0.374 0.374
6 P 0.000 0.000 0.000

(11)
This record from Alexandria via LeMat-Bulk describes crystalline MnSb2Pd6 at its relaxed geometry. The functional is PBE.

Output
ΔE to the lowest computed polymorph in meV per atom: 134
ρ in g cm⁻³: 9.83
Space group: C2/m (12)
Raw formation energy in eV/atom: -0.22

Cell lengths 4.589, 6.045, 6.045 Å; angles 76.52, 100.88, 100.88 degrees
Fractional coordinates of all 9 atoms:
1 Mn 0.000 0.000 0.000
2 Sb 0.827 0.674 0.674
3 Sb 0.173 0.326 0.326
4 Pd 0.291 0.398 0.780
5 Pd 0.391 0.852 0.852
6 Pd 0.291 0.780 0.398
7 Pd 0.709 0.602 0.220
8 Pd 0.609 0.148 0.148
9 Pd 0.709 0.220 0.602

(12)
This record from Alexandria via LeMat-Bulk describes crystalline RbAuI3 at its relaxed geometry. The functional is PBE.

Output
ρ in g cm⁻³: 2.93
Space group: R3m (160)
Raw formation energy in eV/atom: -0.49

Cell lengths 7.817, 7.817, 7.817 Å; angles 65.11, 65.11, 65.11 degrees
Fractional coordinates of all 5 atoms:
1 I 0.624 0.170 0.624
2 I 0.170 0.624 0.624
3 I 0.624 0.624 0.170
4 Au 0.822 0.822 0.822
5 Rb 0.635 0.635 0.635

What is the ρ in the sixth record? 7.45 g cm⁻³

Which value of ρ does entry 9 give? 11.48 g cm⁻³

Which value of ρ does entry 9 give? 11.48 g cm⁻³